No. 1
{
  "formula": "NbSiH3",
  "functional": "PBE",
  "state": "relaxed",
  "magnetic_moment_mub_per_fu": 0.0,
  "space_group": "No. 221",
  "dft_energy_ev_per_atom": -4.73,
  "volume_a3_per_atom": 9.25,
  "cell": [[3.589, 0.000, 0.000], [0.000, 3.589, 0.000], [0.000, 0.000, 3.589]],
  "species": ["Nb", "Si", "H", "H", "H"],
  "frac_coords": [[0.000, 0.000, 0.000], [0.500, 0.500, 0.500], [0.000, 0.000, 0.500], [0.000, 0.500, 0.000], [0.500, 0.000, 0.000]]
}

***

No. 2
{
  "formula": "HfGaPd2",
  "functional": "PBE",
  "state": "relaxed",
  "delta_e_f_mev_per_atom": -642,
  "magnetic_moment_mub_per_fu": 0.0,
  "space_group": "No. 123",
  "volume_a3_per_atom": 16.99,
  "cell": [[3.386, 0.000, 0.000], [0.000, 3.386, 0.000], [0.000, 0.000, 5.929]],
  "species": ["Hf", "Ga", "Pd", "Pd"],
  "frac_coords": [[0.000, 0.000, 0.000], [0.000, 0.000, 0.500], [0.500, 0.500, 0.251], [0.500, 0.500, 0.749]]
}